Density functional theory data (PBEsol) for a geometry-optimized Y2MnRh structure.

As for the formation energy: -0.046 eV per atom. As for the density of states at the Fermi level: 1.239 states/eV per atom.

It has space group P4mm (No. 99), with a = 3.298 Å, b = 3.298 Å, c = 7.834 Å, α = 90.00°, β = 90.00° and γ = 90.00°. Symmetry generates all atoms from Y at (0.000, 0.000, 0.000), Y at (0.500, 0.500, 0.375), Mn at (0.000, 0.000, 0.620) and Rh at (0.500, 0.500, 0.785).

Density functional theory data (PBEsol) for a geometry-optimized YAl structure.

As for the formation energy: -0.435 eV per atom. As for the density of states at the Fermi level: 0.694 states/eV per atom.

It has space group Cmcm (No. 63), with a = 8.891 Å, b = 7.395 Å, c = 5.551 Å, α = 90.00°, β = 90.00° and γ = 90.00°. Symmetry generates all atoms from Y at (0.184, 0.154, 0.250), Al at (0.000, 0.188, 0.750) and Al at (0.000, 0.500, 0.000).

Please write out number 2 again, unchanged.
Density functional theory data (PBEsol) for a geometry-optimized YAl structure.

As for the formation energy: -0.435 eV per atom. As for the density of states at the Fermi level: 0.694 states/eV per atom.

It has space group Cmcm (No. 63), with a = 8.891 Å, b = 7.395 Å, c = 5.551 Å, α = 90.00°, β = 90.00° and γ = 90.00°. Symmetry generates all atoms from Y at (0.184, 0.154, 0.250), Al at (0.000, 0.188, 0.750) and Al at (0.000, 0.500, 0.000).

Repeat the second record exactly.
Density functional theory data (PBEsol) for a geometry-optimized YAl structure.

As for the formation energy: -0.435 eV per atom. As for the density of states at the Fermi level: 0.694 states/eV per atom.

It has space group Cmcm (No. 63), with a = 8.891 Å, b = 7.395 Å, c = 5.551 Å, α = 90.00°, β = 90.00° and γ = 90.00°. Symmetry generates all atoms from Y at (0.184, 0.154, 0.250), Al at (0.000, 0.188, 0.750) and Al at (0.000, 0.500, 0.000).